(1)
Computed, not measured: YCrOs4 after structural relaxation at the PBE level of DFT.

Computed properties:
As for the space group: No. 216. For the energy relative to the elements, the calculation gives 0.19 eV per atom.

Unit cell a=5.2500 b=5.2500 c=5.2500 alpha=60.00 beta=60.00 gamma=60.00
Each line ends with the local moment (μB).
Fractional positions:
Y1 0.7500 0.7500 0.7500  0.08
Cr1 0.0000 0.0000 0.0000  3.21
Os1 0.8778 0.3741 0.3741  -0.39
Os2 0.3741 0.3741 0.8778  -0.39
Os3 0.3741 0.8778 0.3741  -0.39
Os4 0.3741 0.3741 0.3741  -0.39


(2)
Computed, not measured: RbTl2Hg2 after structural relaxation at the PBE level of DFT.

Computed properties:
As for the space group: No. 139. For the energy relative to the elements, the calculation gives -0.12 eV per atom.

Unit cell a=5.7058 b=5.7058 c=6.8992 alpha=65.57 beta=65.57 gamma=90.00
Fractional positions:
Tl1 0.3599 0.3599 0.2802
Tl2 0.6401 0.6401 0.7198
Hg1 0.7500 0.2500 0.5000
Hg2 0.2500 0.7500 0.5000
Rb1 0.0000 0.0000 0.0000


(3)
Computed, not measured: AlSnC after structural relaxation at the PBE level of DFT.

Computed properties:
As for the space group: No. 39. For the energy relative to the elements, the calculation gives 0.22 eV per atom.

Unit cell a=5.4715 b=5.4713 c=6.9794 alpha=90.00 beta=90.00 gamma=90.00
Fractional positions:
C1 0.9934 0.0000 0.1125
C2 0.4934 0.0000 0.8875
C3 0.9934 0.5000 0.8875
C4 0.4934 0.5000 0.1125
Sn1 0.9921 0.0001 0.4295
Sn2 0.4921 0.9999 0.5705
Sn3 0.9921 0.5001 0.5705
Sn4 0.4921 0.4999 0.4295
Al1 0.2435 0.2500 0.0000
Al2 0.7435 0.7500 0.0000
Al3 0.2435 0.7500 0.0000
Al4 0.7435 0.2500 0.0000


(4)
Computed, not measured: SiSn2S after structural relaxation at the PBE level of DFT.

Computed properties:
As for the space group: No. 225. The value obtained for the formation energy without anion corrections is 0.261 eV/atom.

Unit cell a=4.9498 b=4.9498 c=4.9498 alpha=60.00 beta=60.00 gamma=60.00
Fractional positions:
S1 0.5000 0.5000 0.5000
Si1 0.0000 0.0000 0.0000
Sn1 0.2500 0.2500 0.2500
Sn2 0.7500 0.7500 0.7500


no.,mass density (g/cm3)
1,14.64
2,8.16
3,5.01
4,5.76